Entry 1:
# Na5Tl4Pb2, relaxed, DFT PBE
# Magnetization in μB/atom: 0.000
# E in eV per atom: -2.21
# V in Å³/cell: 666.8
# N(E_F) in states/eV/cell: 7.7
# E_form in meV/atom: -78.3
# ΔE to the lowest computed polymorph in meV/atom: 0
data_Na5Tl4Pb2
_space_group_name_H-M_alt 'P b a m'
_space_group_IT_number 55
_cell_length_a 7.5655
_cell_length_b 17.5726
_cell_length_c 5.0154
_cell_angle_alpha 90.00
_cell_angle_beta 90.00
_cell_angle_gamma 90.00
loop_
_space_group_symop_operation_xyz
'x,y,z'
'-x,-y,-z'
'-x,-y,z'
'x,y,-z'
'x+1/2,-y+1/2,-z'
'-x+1/2,y+1/2,z'
'-x+1/2,y+1/2,-z'
'x+1/2,-y+1/2,z'
loop_
_atom_site_label
_atom_site_type_symbol
_atom_site_fract_x
_atom_site_fract_y
_atom_site_fract_z
Na1 Na 0.0000 0.0000 0.0000
Na2 Na 0.0989 0.4111 0.0000
Na3 Na 0.2059 0.2002 0.0000
Tl1 Tl 0.0968 0.8732 0.5000
Tl2 Tl 0.2114 0.5447 0.5000
Pb1 Pb 0.0158 0.2958 0.5000



Entry 2:
# Pm8Sb2Os, relaxed, DFT PBE
# Magnetization in μB/atom: 0.000
# E in eV per atom: -5.64
# V in Å³/cell: 675.4
# N(E_F) in states/eV/cell: 22.3
# Formation energy (no corrections) in meV per atom: -418
data_Pm8Sb2Os
_space_group_name_H-M_alt 'C 1 2/m 1'
_space_group_IT_number 12
_cell_length_a 19.2817
_cell_length_b 4.7335
_cell_length_c 7.4920
_cell_angle_alpha 90.00
_cell_angle_beta 98.99
_cell_angle_gamma 90.00
loop_
_space_group_symop_operation_xyz
'x,y,z'
'-x,-y,-z'
'-x,y,-z'
'x,-y,z'
'x+1/2,y+1/2,z'
'-x+1/2,-y+1/2,-z'
'-x+1/2,y+1/2,-z'
'x+1/2,-y+1/2,z'
loop_
_atom_site_label
_atom_site_type_symbol
_atom_site_fract_x
_atom_site_fract_y
_atom_site_fract_z
Pm1 Pm 0.0056 0.0000 0.2798
Pm2 Pm 0.0950 0.5000 0.0087
Pm3 Pm 0.1446 0.5000 0.5272
Pm4 Pm 0.2166 0.0000 0.8476
Sb1 Sb 0.1811 0.0000 0.2650
Os1 Os 0.0000 0.5000 0.5000



- Look up the N(E_F) of the first one.
  7.7 states/eV/cell